Here is a geometry-optimized Hf4Mo structure from Alexandria. Energies are from PBE-GGA. Values from VASP.

## Properties
polymorph energy (0 for the lowest one): 0 meV per atom
Fermi-level density of states: 1.516 states/eV per atom
DFT formation energy: 0.79 eV/atom
energy: -9.339 eV per atom

```
&SYSTEM
  ibrav = 0, nat = 5, ntyp = 2
/
ATOMIC_SPECIES
Mo 95.94 Mo.upf
Hf 178.49 Hf.upf
CELL_PARAMETERS angstrom
-1.5115 3.5339 -3.1598
0.7164 -3.1082 -3.8189
-4.6861 -1.6150 0.4354
ATOMIC_POSITIONS angstrom
Mo -2.7406 -0.5946 -3.2717
Hf 0.0000 0.0000 0.0000
Hf -3.0988 0.9594 -1.3622
Hf -1.9849 -2.3616 -1.6918
Hf -0.3975 0.2129 -3.4894
```